(i)
This record from Alexandria via LeMat-Bulk describes an optimized crystal structure of GeC2I. The functional is GGA-PBE.

Lattice parameters (Å, degrees): 5.5640 5.5640 5.7045 60.81 60.81 90.00
Closest atoms and distances in Å follow each position.
Sites, in units of the cell vectors:
I 0.7500 0.2500 0.5000  4 C 2.52
I 0.0000 0.0000 0.0000  4 C 2.52
C 0.3750 0.4533 0.7500  2 Ge 1.98
C 0.5467 0.1250 0.2500  2 Ge 1.98
C 0.2033 0.6250 0.2500  2 Ge 1.98
C 0.8750 0.7967 0.7500  2 Ge 1.98
Ge 0.2500 0.7500 0.5000  4 C 1.98
Ge 0.5000 0.5000 0.0000  4 C 1.98

Summary:
Fermi-level density of states = 0.709 states/eV/atom
space group = I-42d, No. 122
crystal system = tetragonal

(ii)
This record from Alexandria via LeMat-Bulk describes an optimized crystal structure of GeC2I. The functional is GGA-PBE.

Lattice parameters (Å, degrees): 4.3275 4.3275 4.3275 60.00 60.00 60.00
Closest atoms and distances in Å follow each position.
Sites, in units of the cell vectors:
Ge 0.0000 0.0000 0.0000  8 C 2.65
C 0.2500 0.2500 0.2500  4 Ge 2.65, 4 I 2.65
C 0.7500 0.7500 0.7500  4 I 2.65, 4 Ge 2.65
I 0.5000 0.5000 0.5000  8 C 2.65

Summary:
Fermi-level density of states = 0.718 states/eV/atom
space group = Fm-3m, No. 225
crystal system = cubic

(i) comes first in stability; the runner-up is 0.948 eV/atom higher.

(i)
This record from Alexandria via LeMat-Bulk describes an optimized crystal structure of GeCIN2. The functional is GGA-PBE.

Lattice parameters (Å, degrees): 3.6209 3.6209 7.9268 90.00 90.00 90.00
Closest atoms and distances in Å follow each position.
Sites, in units of the cell vectors:
I 0.0000 0.0000 0.5000  4 C 2.56
N 0.5000 0.0000 0.0000  2 Ge 1.81
N 0.0000 0.5000 0.0000  2 Ge 1.81
C 0.5000 0.5000 0.5000  4 I 2.56
Ge 0.0000 0.0000 0.0000  4 N 1.81

Summary:
Fermi-level density of states = 0.693 states/eV/atom
space group = P4/mmm, No. 123
crystal system = tetragonal

(ii)
This record from Alexandria via LeMat-Bulk describes an optimized crystal structure of GeCIN2. The functional is GGA-PBE.

Lattice parameters (Å, degrees): 3.9462 3.9462 4.3772 90.00 90.00 90.00
Closest atoms and distances in Å follow each position.
Sites, in units of the cell vectors:
N 0.5000 0.0000 0.0000  2 C 1.97
N 0.0000 0.5000 0.0000  2 C 1.97
Ge 0.5000 0.5000 0.5000  4 I 2.79, 8 N 2.95
I 0.0000 0.0000 0.5000  2 C 2.19
C 0.0000 0.0000 0.0000  4 N 1.97, 2 I 2.19

Summary:
Fermi-level density of states = 0.542 states/eV/atom
space group = P4/mmm, No. 123
crystal system = tetragonal

(i) comes first in stability; the runner-up is 0.439 eV/atom higher.

(i)
This record from Alexandria via LeMat-Bulk describes an optimized crystal structure of GeCI2O. The functional is GGA-PBE.

Lattice parameters (Å, degrees): 5.7179 5.7179 3.6903 90.00 90.00 90.00
Closest atoms and distances in Å follow each position.
Sites, in units of the cell vectors:
C 0.5000 0.5000 0.5000  8 I 3.40, 2 C 3.69
I 0.0000 0.5000 0.0000  2 Ge 2.86
I 0.5000 0.0000 0.0000  2 Ge 2.86
O 0.0000 0.0000 0.5000  2 Ge 1.85
Ge 0.0000 0.0000 0.0000  2 O 1.85

Summary:
Fermi-level density of states = 0.619 states/eV/atom
space group = P4/mmm, No. 123
crystal system = tetragonal

(ii)
This record from Alexandria via LeMat-Bulk describes an optimized crystal structure of GeCI2O. The functional is GGA-PBE.

Lattice parameters (Å, degrees): 5.7575 5.7575 3.2057 90.00 90.00 90.00
Closest atoms and distances in Å follow each position.
Sites, in units of the cell vectors:
I 0.5000 0.0000 0.0000  2 C 2.88, 2 I 3.21
I 0.0000 0.5000 0.0000  2 C 2.88, 2 I 3.21
C 0.0000 0.0000 0.0000  2 O 1.60
O 0.0000 0.0000 0.5000  2 C 1.60
Ge 0.5000 0.5000 0.5000  2 Ge 3.21, 8 I 3.29

Summary:
Fermi-level density of states = 0.298 states/eV/atom
space group = P4/mmm, No. 123
crystal system = tetragonal

(ii) comes first in stability; the runner-up is 0.116 eV/atom higher.

(i)
This record from Alexandria via LeMat-Bulk describes an optimized crystal structure of GeSbCI2. The functional is GGA-PBE.

Lattice parameters (Å, degrees): 5.0612 5.0612 4.7948 90.00 90.00 90.00
Closest atoms and distances in Å follow each position.
Sites, in units of the cell vectors:
I 0.0000 0.5000 0.0000  2 C 2.53
I 0.5000 0.0000 0.0000  2 C 2.53
Ge 0.5000 0.5000 0.5000  8 I 3.49, 4 Sb 3.58
Sb 0.0000 0.0000 0.5000  2 C 2.40
C 0.0000 0.0000 0.0000  2 Sb 2.40, 4 I 2.53

Summary:
Fermi-level density of states = 0.409 states/eV/atom
space group = P4/mmm, No. 123
crystal system = tetragonal

(ii)
This record from Alexandria via LeMat-Bulk describes an optimized crystal structure of GeSbCI2. The functional is GGA-PBE.

Lattice parameters (Å, degrees): 5.6785 5.6785 5.6038 90.00 90.00 90.00
Closest atoms and distances in Å follow each position.
Sites, in units of the cell vectors:
C 0.5000 0.5000 0.5000  8 I 3.99, 4 Sb 4.02
I 0.5000 0.0000 0.0000  2 Ge 2.84
I 0.0000 0.5000 0.0000  2 Ge 2.84
Sb 0.0000 0.0000 0.5000  2 Ge 2.80
Ge 0.0000 0.0000 0.0000  2 Sb 2.80, 4 I 2.84

Summary:
Fermi-level density of states = 1.376 states/eV/atom
space group = P4/mmm, No. 123
crystal system = tetragonal

(i) comes first in stability; the runner-up is 0.556 eV/atom higher.

(i)
This record from Alexandria via LeMat-Bulk describes an optimized crystal structure of InGe2C. The functional is GGA-PBE.

Lattice parameters (Å, degrees): 4.6802 4.6802 4.6802 60.00 60.00 60.00
Closest atoms and distances in Å follow each position.
Sites, in units of the cell vectors:
In 0.5000 0.5000 0.5000  8 Ge 2.87
C 0.0000 0.0000 0.0000  8 Ge 2.87
Ge 0.7500 0.7500 0.7500  4 In 2.87, 4 C 2.87
Ge 0.2500 0.2500 0.2500  4 In 2.87, 4 C 2.87

Summary:
Fermi-level density of states = 0.715 states/eV/atom
space group = Fm-3m, No. 225
crystal system = cubic

(ii)
This record from Alexandria via LeMat-Bulk describes an optimized crystal structure of InGe2C. The functional is GGA-PBE.

Lattice parameters (Å, degrees): 5.5878 5.5878 6.3773 64.02 64.02 90.00
Closest atoms and distances in Å follow each position.
Sites, in units of the cell vectors:
C 0.2500 0.7500 0.5000  4 Ge 2.07
C 0.5000 0.5000 0.0000  4 Ge 2.07
In 0.0000 0.0000 0.0000  4 Ge 2.69
In 0.7500 0.2500 0.5000  4 Ge 2.69
Ge 0.5307 0.1250 0.2500  2 C 2.07
Ge 0.8750 0.7807 0.7500  2 C 2.07
Ge 0.3750 0.4693 0.7500  2 C 2.07
Ge 0.2193 0.6250 0.2500  2 C 2.07

Summary:
Fermi-level density of states = 0.354 states/eV/atom
space group = I-42d, No. 122
crystal system = tetragonal

(ii) comes first in stability; the runner-up is 0.861 eV/atom higher.

(i)
This record from Alexandria via LeMat-Bulk describes an optimized crystal structure of KGeC. The functional is GGA-PBE.

Lattice parameters (Å, degrees): 6.0572 4.1261 6.1859 90.00 102.08 90.00
Closest atoms and distances in Å follow each position.
Sites, in units of the cell vectors:
C 0.0886 0.5000 0.4608  1 C 1.27
C 0.9114 0.5000 0.5392  1 C 1.27
K 0.2224 0.0000 0.8050  4 C 2.95-3.04
K 0.7776 0.0000 0.1950  4 C 2.95-3.04
Ge 0.3475 0.5000 0.3246  1 C 1.93
Ge 0.6525 0.5000 0.6754  1 C 1.93

Summary:
Fermi-level density of states = 0.297 states/eV/atom
space group = P2/m, No. 10
crystal system = monoclinic

(ii)
This record from Alexandria via LeMat-Bulk describes an optimized crystal structure of KGeC. The functional is GGA-PBE.

Lattice parameters (Å, degrees): 6.2740 4.1476 11.7491 90.00 111.78 90.00
Closest atoms and distances in Å follow each position.
Sites, in units of the cell vectors:
Ge 0.6231 0.0000 0.8116  1 C 1.97
Ge 0.3769 0.0000 0.1884  1 C 1.97
Ge 0.6231 0.5000 0.3116  1 C 1.97
Ge 0.3769 0.5000 0.6884  1 C 1.97
C 0.5198 0.5000 0.4511  1 C 1.26
C 0.5198 0.0000 0.9511  1 C 1.26
C 0.4802 0.5000 0.5489  1 C 1.26
C 0.4802 0.0000 0.0489  1 C 1.26
K 0.8473 0.0000 0.6001  4 C 2.99, 1 Ge 3.28
K 0.8473 0.5000 0.1001  4 C 2.99, 1 Ge 3.28
K 0.1527 0.0000 0.3999  4 C 2.99, 1 Ge 3.28
K 0.1527 0.5000 0.8999  4 C 2.99, 1 Ge 3.28

Summary:
Fermi-level density of states = 0.044 states/eV/atom
space group = C2/m, No. 12
crystal system = monoclinic

(iii)
This record from Alexandria via LeMat-Bulk describes an optimized crystal structure of KGeC. The functional is GGA-PBE.

Lattice parameters (Å, degrees): 4.0521 6.5095 6.6899 65.05 89.37 77.25
Closest atoms and distances in Å follow each position.
Sites, in units of the cell vectors:
C 0.3763 0.8298 0.9347  1 C 1.29
C 0.5104 0.9459 0.7596  1 C 1.29
Ge 0.2703 0.7449 0.6389  2 C 2.19-2.33
Ge 0.6750 0.0379 0.4662  1 C 1.95
K 0.9750 0.5689 0.2629  2 C 2.89-2.96
K 0.8647 0.2242 0.9167  2 C 2.88-3.04

Summary:
space group = P1, No. 1
crystal system = triclinic

(ii) comes first in stability; the runner-up is 0.053 eV/atom higher.